Entry A
Below is a relaxed InTcOF2 crystal, with properties calculated at the PBE level.

N(E_F) (states/eV per cell): 1.9
Magnetization (μB per atom): 0.00

a b c (Å): 4.3887 4.3887 3.8113
angles (deg): 90.00 90.00 90.00
Space group P4/mmm (No. 123)
One atom of each set of equivalent atoms:
In 0.0000 0.0000 0.0000
Tc 0.5000 0.5000 0.5000
O 0.5000 0.5000 0.0000
F 0.0000 0.5000 0.5000



Entry B
Below is a relaxed InTcOF2 crystal, with properties calculated at the PBE level.

N(E_F) (states/eV per cell): 2.2
Magnetization (μB per atom): 0.89

a b c (Å): 4.3711 4.3711 4.1075
angles (deg): 90.00 90.00 90.00
Space group P4/mmm (No. 123)
One atom of each set of equivalent atoms:
In 0.0000 0.0000 0.0000
Tc 0.5000 0.5000 0.5000
O 0.0000 0.0000 0.5000
F 0.0000 0.5000 0.0000



So which one is most stable? That would be entry A, about 552 meV/atom below the next structure.



Entry A
Below is a relaxed YInOF2 crystal, with properties calculated at the PBE level.

N(E_F) (states/eV per cell): 3.6
Magnetization (μB per atom): 0.20

a b c (Å): 4.4305 4.4305 4.3731
angles (deg): 90.00 90.00 90.00
Space group P4/mmm (No. 123)
One atom of each set of equivalent atoms:
Y 0.0000 0.0000 0.0000
In 0.5000 0.5000 0.5000
O 0.5000 0.5000 0.0000
F 0.0000 0.5000 0.5000



Entry B
Below is a relaxed YInOF2 crystal, with properties calculated at the PBE level.

N(E_F) (states/eV per cell): 0.0
Magnetization (μB per atom): 0.00

a b c (Å): 4.4658 4.4658 4.4326
angles (deg): 90.00 90.00 90.00
Space group P4/mmm (No. 123)
One atom of each set of equivalent atoms:
Y 0.0000 0.0000 0.0000
In 0.5000 0.5000 0.5000
O 0.0000 0.0000 0.5000
F 0.0000 0.5000 0.0000



So which one is most stable? That would be entry B, about 1102 meV/atom below the next structure.



Entry A
Below is a relaxed ZnInOF2 crystal, with properties calculated at the PBE level.

N(E_F) (states/eV per cell): 2.0
Magnetization (μB per atom): 0.09

a b c (Å): 4.2931 4.2931 4.1340
angles (deg): 90.00 90.00 90.00
Space group P4/mmm (No. 123)
One atom of each set of equivalent atoms:
Zn 0.0000 0.0000 0.0000
In 0.5000 0.5000 0.5000
O 0.5000 0.5000 0.0000
F 0.0000 0.5000 0.5000



Entry B
Below is a relaxed ZnInOF2 crystal, with properties calculated at the PBE level.

N(E_F) (states/eV per cell): 1.8
Magnetization (μB per atom): 0.00

a b c (Å): 3.9721 3.9721 4.2708
angles (deg): 90.00 90.00 90.00
Space group P4/mmm (No. 123)
One atom of each set of equivalent atoms:
Zn 0.0000 0.0000 0.0000
In 0.5000 0.5000 0.5000
O 0.0000 0.0000 0.5000
F 0.0000 0.5000 0.0000



So which one is most stable? That would be entry B, about 130 meV/atom below the next structure.



Entry A
Below is a relaxed In2OsF crystal, with properties calculated at the PBE level.

N(E_F) (states/eV per cell): 23.1
Magnetization (μB per atom): 0.14

a b c (Å): 6.5559 6.5559 6.5559
angles (deg): 90.00 90.00 90.00
Space group Fm-3m (No. 225)
One atom of each set of equivalent atoms:
In 0.2500 0.2500 0.2500
Os 0.0000 0.0000 0.0000
F 0.0000 0.0000 0.5000



Entry B
Below is a relaxed In2OsF crystal, with properties calculated at the PBE level.

N(E_F) (states/eV per cell): 10.3
Magnetization (μB per atom): 0.00

a b c (Å): 5.3662 5.3662 13.1294
angles (deg): 90.00 90.00 90.00
Space group I-42d (No. 122)
One atom of each set of equivalent atoms:
In 0.2173 0.2500 0.1250
Os 0.0000 0.0000 0.5000
F 0.0000 0.0000 0.0000



So which one is most stable? That would be entry A, about 164 meV/atom below the next structure.